Record 1
{
  "formula": "Rb8Au2SO",
  "functional": "PBE-GGA",
  "state": "optimized geometry",
  "formation_energy_uncorrected_mev_per_atom": -548,
  "cell": [[7.8701, 0.0000, 0.0000], [0.0000, 9.4896, 0.0000], [-0.0904, 0.0000, 7.8971]],
  "species": ["Rb", "Rb", "Rb", "Rb", "Rb", "Rb", "Rb", "Rb", "Au", "Au", "S", "O"],
  "frac_coords": [[0.1795, 0.2199, 0.1686], [0.1795, 0.7801, 0.1686], [0.2437, 0.0000, 0.7434], [0.2814, 0.5000, 0.7055], [0.7186, 0.5000, 0.2945], [0.7563, 0.0000, 0.2566], [0.8205, 0.2199, 0.8314], [0.8205, 0.7801, 0.8314], [0.5000, 0.2286, 0.5000], [0.5000, 0.7714, 0.5000], [0.0000, 0.5000, 0.0000], [0.0000, 0.0000, 0.0000]]
}

---

Record 2
{
  "formula": "RbAuSO6",
  "functional": "PBE-GGA",
  "state": "optimized geometry",
  "formation_energy_uncorrected_mev_per_atom": -665,
  "cell": [[5.0242, 0.0000, 0.0000], [-2.5121, 4.3511, 0.0000], [0.0000, 0.0000, 6.3286]],
  "species": ["Rb", "Au", "S", "O", "O", "O", "O", "O", "O"],
  "frac_coords": [[0.0000, 0.0000, 0.0000], [0.3333, 0.6667, 0.5000], [0.6667, 0.3333, 0.5000], [0.4043, 0.0582, 0.6571], [0.4043, 0.3460, 0.3429], [0.6540, 0.0582, 0.3429], [0.6540, 0.5957, 0.6571], [0.9418, 0.3460, 0.6571], [0.9418, 0.5957, 0.3429]]
}

---

| no. | density (g/cm3) | V (Å³ per cell) |
| --- | --- | --- |
| 1 | 3.2 | 589.8 |
| 2 | 4.9 | 138.3 |